Material: Tb8Ir2Os
Method: DFT, PBE
State: relaxed

Results
D(E_F) in states/eV per cell: 10.51
Crystal system: monoclinic
Electronic total energy in hartree per atom: -0.2336
Formation energy from the elements in eV per atom: -0.3577
Spin magnetization in μB/atom: 0.000

Structure (CIF):
```
data_Tb8Ir2Os
_cell_length_a 7.5514
_cell_length_b 7.5514
_cell_length_c 5.9816
_cell_angle_alpha 100.57
_cell_angle_beta 100.57
_cell_angle_gamma 112.89
_space_group_name_H-M_alt 'P 1'
_space_group_IT_number 1
loop_
_space_group_symop_operation_xyz
'x,y,z'
loop_
_atom_site_label
_atom_site_type_symbol
_atom_site_fract_x
_atom_site_fract_y
_atom_site_fract_z
_atom_site_occupancy
Tb1 Tb 0.0000 0.0000 0.0000 1
Tb2 Tb 0.0248 0.2814 0.5787 1
Tb3 Tb 0.1407 0.5660 0.1857 1
Tb4 Tb 0.2814 0.0248 0.5787 1
Tb5 Tb 0.4348 0.6923 0.7742 1
Tb6 Tb 0.5660 0.1407 0.1857 1
Tb7 Tb 0.6923 0.4348 0.7742 1
Tb8 Tb 0.7115 0.7115 0.3700 1
Ir1 Ir 0.0481 0.6728 0.6834 1
Ir2 Ir 0.6728 0.0481 0.6834 1
Os1 Os 0.3540 0.3540 0.3380 1
```


Material: TiNb2Au
Method: DFT, PBE
State: relaxed

Results
D(E_F) in states/eV per cell: 11.31
Crystal system: tetragonal
Electronic total energy in hartree per atom: -0.2770
Formation energy from the elements in eV per atom: 0.2904
Spin magnetization in μB/atom: 0.000

Structure (CIF):
```
data_TiNb2Au
_cell_length_a 10.5178
_cell_length_b 10.5178
_cell_length_c 10.5178
_cell_angle_alpha 158.84
_cell_angle_beta 158.84
_cell_angle_gamma 30.09
_space_group_name_H-M_alt 'P 1'
_space_group_IT_number 1
loop_
_space_group_symop_operation_xyz
'x,y,z'
loop_
_atom_site_label
_atom_site_type_symbol
_atom_site_fract_x
_atom_site_fract_y
_atom_site_fract_z
_atom_site_occupancy
Ti1 Ti 0.0000 0.0000 0.0000 1
Ti2 Ti 0.7500 0.2500 0.5000 1
Nb1 Nb 0.1175 0.6250 0.9925 1
Nb2 Nb 0.3750 0.3675 0.4925 1
Nb3 Nb 0.6325 0.1250 0.0075 1
Nb4 Nb 0.8750 0.8825 0.5075 1
Au1 Au 0.2500 0.7500 0.5000 1
Au2 Au 0.5000 0.5000 0.0000 1
```


Material: Mg2ZrTlGa
Method: DFT, PBE
State: relaxed

Results
D(E_F) in states/eV per cell: 6.19
Crystal system: tetragonal
Electronic total energy in hartree per atom: -0.0915
Formation energy from the elements in eV per atom: 0.9355
Spin magnetization in μB/atom: 0.284

Structure (CIF):
```
data_Mg2ZrTlGa
_cell_length_a 5.7299
_cell_length_b 5.7299
_cell_length_c 5.5601
_cell_angle_alpha 90.00
_cell_angle_beta 90.00
_cell_angle_gamma 90.00
_space_group_name_H-M_alt 'P 1'
_space_group_IT_number 1
loop_
_space_group_symop_operation_xyz
'x,y,z'
loop_
_atom_site_label
_atom_site_type_symbol
_atom_site_fract_x
_atom_site_fract_y
_atom_site_fract_z
_atom_site_occupancy
Mg1 Mg 0.0000 0.5000 0.0000 1
Mg2 Mg 0.5000 0.0000 0.0000 1
Zr1 Zr 0.0000 0.0000 0.0000 1
Tl1 Tl 0.0000 0.0000 0.5000 1
Ga1 Ga 0.5000 0.5000 0.5000 1
```


Material: TiGa2Ni2
Method: DFT, PBE
State: relaxed

Results
D(E_F) in states/eV per cell: 16.32
Crystal system: tetragonal
Electronic total energy in hartree per atom: -0.2001
Formation energy from the elements in eV per atom: -0.3433
Spin magnetization in μB/atom: 0.009

Structure (CIF):
```
data_TiGa2Ni2
_cell_length_a 7.1454
_cell_length_b 7.1454
_cell_length_c 2.6354
_cell_angle_alpha 90.00
_cell_angle_beta 90.00
_cell_angle_gamma 90.00
_space_group_name_H-M_alt 'P 1'
_space_group_IT_number 1
loop_
_space_group_symop_operation_xyz
'x,y,z'
loop_
_atom_site_label
_atom_site_type_symbol
_atom_site_fract_x
_atom_site_fract_y
_atom_site_fract_z
_atom_site_occupancy
Ti1 Ti 0.0000 0.0000 0.0000 1
Ti2 Ti 0.5000 0.5000 0.0000 1
Ga1 Ga 0.1332 0.3668 0.0000 1
Ga2 Ga 0.3668 0.8668 0.0000 1
Ga3 Ga 0.6332 0.1332 0.0000 1
Ga4 Ga 0.8668 0.6332 0.0000 1
Ni1 Ni 0.1655 0.6655 0.5000 1
Ni2 Ni 0.3345 0.1655 0.5000 1
Ni3 Ni 0.6655 0.8345 0.5000 1
Ni4 Ni 0.8345 0.3345 0.5000 1
```


> The highest D(E_F) belongs to which entry?

TiGa2Ni2


> formation energy from the elements of number 2 (TiNb2Au)?

0.2904 eV per atom


> Number 2 is which compound?

TiNb2Au


> Which value of formation energy from the elements does entry 4 give?

-0.3433 eV per atom